[1]
DFT (GGA-PBE) results for a relaxed structure of InAgSN2.

a = 4.091 Å, b = 4.091 Å, c = 5.244 Å
α = 90.00°, β = 90.00°, γ = 90.00°
Positions (direct):
In 0.000 0.000 0.000
Ag 0.500 0.500 0.500
S 0.500 0.500 0.000
N 0.000 0.500 0.500
N 0.500 0.000 0.500

Properties
The calculation puts the uncorrected formation energy at 7.77 eV per formula unit. The value obtained for the density of states at the Fermi level is 2.0 states/eV per cell. Its energy above the most stable polymorph in this dataset is 113 meV per atom. The density comes out at 5.35 g/cm³. The total energy comes out at -3.72 eV/atom. The space-group type is P4/mmm, No. 123.

---

[2]
DFT (GGA-PBE) results for a relaxed structure of ZnCrCl2.

a = 3.659 Å, b = 3.659 Å, c = 8.999 Å
α = 90.00°, β = 90.00°, γ = 125.07°
Positions (direct):
Zn 0.000 0.000 0.000
Cr 0.500 0.500 0.235
Cl 0.000 0.000 0.412
Cl 0.500 0.500 0.821

Properties
The calculation puts the uncorrected formation energy at -1.67 eV per formula unit. The value obtained for the density of states at the Fermi level is 0.2 states/eV per cell. Its energy above the most stable polymorph in this dataset is 67 meV per atom. The density comes out at 3.17 g/cm³. The total energy comes out at -4.06 eV/atom. The space-group type is Cmm2, No. 35.

---

[3]
DFT (GGA-PBE) results for a relaxed structure of AcZn2Cl8.

a = 8.137 Å, b = 8.137 Å, c = 8.137 Å
α = 128.83°, β = 128.83°, γ = 75.29°
Positions (direct):
Ac 0.000 0.000 0.000
Zn 0.250 0.750 0.500
Zn 0.750 0.250 0.500
Cl 0.038 0.553 0.838
Cl 0.200 0.038 0.485
Cl 0.285 0.447 0.485
Cl 0.447 0.962 0.162
Cl 0.553 0.715 0.515
Cl 0.715 0.200 0.162
Cl 0.800 0.285 0.838
Cl 0.962 0.800 0.515

Properties
The calculation puts the uncorrected formation energy at -14.34 eV per formula unit. The value obtained for the density of states at the Fermi level is 18.1 states/eV per cell. The density comes out at 3.35 g/cm³. The total energy comes out at -3.25 eV/atom. The space-group type is I422, No. 97.

---

[4]
DFT (GGA-PBE) results for a relaxed structure of NaHg.

a = 3.404 Å, b = 5.090 Å, c = 6.263 Å
α = 90.00°, β = 102.90°, γ = 90.00°
Positions (direct):
Na 0.134 0.250 0.319
Na 0.866 0.750 0.681
Hg 0.439 0.250 0.845
Hg 0.561 0.750 0.155

Properties
The value obtained for the density of states at the Fermi level is 1.1 states/eV per cell. The formation energy is -23 kJ/mol of atoms. The density comes out at 7.02 g/cm³. The total energy comes out at -1.05 eV/atom. The space-group type is P2_1/m, No. 11.

---

- The lowest density belongs to which entry?
  ZnCrCl2